# 1
Compound: ZrHRu2Rh
Source: Alexandria
Functional: PBE-GGA
Structure: optimized geometry

The structure in POSCAR format:
```
ZrHRu2Rh
1.0
-3.179 -2.298 -0.044
0.815 -1.056 -3.689
2.302 -3.212 1.428
Rh Ru H Zr
1 2 1 1
Direct
0.500 0.500 0.500
0.000 0.500 0.000
0.500 0.000 0.000
0.000 0.000 0.000
0.000 0.000 0.500
```

Output
**Size of the total moment**: 0.00 μB/cell
**Relative energy among the computed polymorphs**: 27 meV/atom
**Raw total energy**: -39.340 eV/cell

# 2
Compound: TcSnAu2
Source: Alexandria
Functional: PBE-GGA
Structure: optimized geometry

The structure in POSCAR format:
```
TcSnAu2
1.0
3.917 0.000 0.000
0.000 3.917 0.000
1.959 1.959 10.240
Au Sn Tc
4 2 2
Direct
0.375 0.380 0.750
0.620 0.125 0.250
0.875 0.870 0.750
0.130 0.625 0.250
0.750 0.250 0.500
0.000 0.000 0.000
0.250 0.750 0.500
0.500 0.500 0.000
```

Output
**Size of the total moment**: 3.10 μB/cell
**Formation enthalpy at 0 K**: 0.375 eV/atom
**Raw total energy**: -38.846 eV/cell